! NaLaBi3 | the Alexandria database | PBE | relaxed; values from VASP
! Calculated formation energy: -0.363 eV/atom
! Magnetic moment: 0.00 μB/f.u.
! Calculated volume: 36.588 Å³/atom
! Final energy: -3.941 eV per atom
&SYSTEM
  ibrav = 0, nat = 20, ntyp = 3
/
ATOMIC_SPECIES
Na 22.99 Na.upf
La 138.91 La.upf
Bi 208.98 Bi.upf
CELL_PARAMETERS angstrom
10.676 0.000 0.000
0.000 6.305 0.000
0.000 0.000 10.871
ATOMIC_POSITIONS angstrom
Na 1.238 1.576 0.000
Na 1.238 1.576 5.435
Na 9.438 4.729 0.000
Na 9.438 4.729 5.435
La 3.992 3.178 2.718
La 3.992 6.280 8.153
La 6.684 0.026 2.718
La 6.684 3.127 8.153
Bi 0.835 4.149 2.718
Bi 0.835 5.309 8.153
Bi 3.144 0.048 2.718
Bi 3.144 3.105 8.153
Bi 4.997 1.576 0.000
Bi 4.997 1.576 5.435
Bi 5.679 4.729 0.000
Bi 5.679 4.729 5.435
Bi 7.532 3.201 2.718
Bi 7.532 6.257 8.153
Bi 9.841 0.997 2.718
Bi 9.841 2.156 8.153

***

! InGePb2 | the Alexandria database | PBE | relaxed; values from VASP
! Calculated formation energy: 0.180 eV/atom
! Magnetic moment: 0.00 μB/f.u.
! Calculated volume: 28.836 Å³/atom
! Final energy: -3.514 eV per atom
&SYSTEM
  ibrav = 0, nat = 4, ntyp = 3
/
ATOMIC_SPECIES
In 114.82 In.upf
Ge 72.64 Ge.upf
Pb 207.20 Pb.upf
CELL_PARAMETERS angstrom
1.699 0.981 11.539
-1.699 0.981 11.539
0.000 -1.962 11.539
ATOMIC_POSITIONS angstrom
In 0.000 0.000 0.000
Ge 0.000 0.000 17.309
Pb 0.000 0.000 3.252
Pb 0.000 0.000 31.365

***

! La2AlBiRh | the Alexandria database | PBE | relaxed; values from VASP
! Calculated formation energy: -0.743 eV/atom
! Magnetic moment: 0.00 μB/f.u.
! Calculated volume: 29.451 Å³/atom
! Final energy: -5.709 eV per atom
&SYSTEM
  ibrav = 0, nat = 5, ntyp = 4
/
ATOMIC_SPECIES
La 138.91 La.upf
Al 26.98 Al.upf
Bi 208.98 Bi.upf
Rh 102.91 Rh.upf
CELL_PARAMETERS angstrom
5.532 0.000 0.000
0.000 5.532 0.000
0.000 0.000 4.812
ATOMIC_POSITIONS angstrom
La 0.000 2.766 0.000
La 2.766 0.000 0.000
Al 0.000 0.000 2.406
Bi 2.766 2.766 2.406
Rh 0.000 0.000 0.000

***

! Cs2LaMnI6 | the Alexandria database | PBE | relaxed; values from VASP
! Magnetic moment: 4.00 μB/f.u.
! Calculated volume: 44.824 Å³/atom
! Energy relative to the elements, uncorrected: -1.147 eV/atom
! Final energy: -3.658 eV per atom
&SYSTEM
  ibrav = 0, nat = 10, ntyp = 4
/
ATOMIC_SPECIES
Cs 132.91 Cs.upf
La 138.91 La.upf
Mn 54.94 Mn.upf
I 126.90 I.upf
CELL_PARAMETERS angstrom
0.000 6.074 6.074
6.074 0.000 6.074
6.074 6.074 0.000
ATOMIC_POSITIONS angstrom
Cs 3.037 3.037 3.037
Cs 9.111 9.111 9.111
La 0.000 0.000 0.000
Mn 6.074 6.074 6.074
I 6.074 6.074 3.167
I 6.074 3.167 6.074
I 8.981 6.074 6.074
I 3.167 6.074 6.074
I 6.074 8.981 6.074
I 6.074 6.074 8.981

***

! Sm2Ho3Al2 | the Alexandria database | PBE | relaxed; values from VASP
! Calculated formation energy: -0.198 eV/atom
! Magnetic moment: 0.00 μB/f.u.
! Calculated volume: 27.413 Å³/atom
! Final energy: -4.577 eV per atom
&SYSTEM
  ibrav = 0, nat = 7, ntyp = 3
/
ATOMIC_SPECIES
Sm 150.36 Sm.upf
Ho 164.93 Ho.upf
Al 26.98 Al.upf
CELL_PARAMETERS angstrom
4.589 -2.653 0.000
4.589 2.653 0.000
-3.068 0.000 7.881
ATOMIC_POSITIONS angstrom
Sm -0.002 0.000 1.998
Sm 6.112 0.000 5.883
Ho 3.058 0.000 0.346
Ho 3.055 0.000 3.940
Ho 3.052 0.000 7.535
Al -0.005 0.000 5.187
Al 6.115 0.000 2.694

***

! SiW3 | the Alexandria database | PBE | relaxed; values from VASP
! Magnetic moment: 0.00 μB/f.u.
! Calculated volume: 15.387 Å³/atom
! Energy relative to the elements, uncorrected: 0.145 eV/atom
! Final energy: -10.925 eV per atom
&SYSTEM
  ibrav = 0, nat = 4, ntyp = 2
/
ATOMIC_SPECIES
Si 28.09 Si.upf
W 183.84 W.upf
CELL_PARAMETERS angstrom
2.747 0.000 0.000
0.000 4.392 0.000
-1.369 0.000 5.101
ATOMIC_POSITIONS angstrom
Si 0.000 0.000 0.000
W -0.303 2.196 3.857
W 0.689 0.000 2.551
W 1.681 2.196 1.244

***

! TiTePbSe2 | the Alexandria database | PBE | relaxed; values from VASP
! Magnetic moment: 0.81 μB/f.u.
! Calculated volume: 28.909 Å³/atom
! Energy relative to the elements, uncorrected: -0.197 eV/atom
! Final energy: -4.540 eV per atom
&SYSTEM
  ibrav = 0, nat = 5, ntyp = 4
/
ATOMIC_SPECIES
Ti 47.87 Ti.upf
Te 127.60 Te.upf
Pb 207.20 Pb.upf
Se 78.96 Se.upf
CELL_PARAMETERS angstrom
4.822 0.000 0.000
0.000 4.822 0.000
0.000 0.000 6.216
ATOMIC_POSITIONS angstrom
Ti 0.000 0.000 0.000
Te 2.411 2.411 3.108
Pb 0.000 0.000 3.108
Se 0.000 2.411 0.000
Se 2.411 0.000 0.000

***

! TaReB3 | the Alexandria database | PBE | relaxed; values from VASP
! Calculated formation energy: 1.053 eV/atom
! Magnetic moment: 0.00 μB/f.u.
! Calculated volume: 12.757 Å³/atom
! Final energy: -7.814 eV per atom
&SYSTEM
  ibrav = 0, nat = 5, ntyp = 3
/
ATOMIC_SPECIES
Ta 180.95 Ta.upf
Re 186.21 Re.upf
B 10.81 B.upf
CELL_PARAMETERS angstrom
3.995 0.000 0.000
0.000 3.995 0.000
0.000 0.000 3.995
ATOMIC_POSITIONS angstrom
Ta 0.000 0.000 0.000
Re 1.998 1.998 1.998
B 0.000 1.998 1.998
B 1.998 0.000 1.998
B 1.998 1.998 0.000

***

! Sc2TlTe | the Alexandria database | PBE | relaxed; values from VASP
! Magnetic moment: 0.98 μB/f.u.
! Calculated volume: 26.842 Å³/atom
! Energy relative to the elements, uncorrected: -0.206 eV/atom
! Final energy: -4.748 eV per atom
&SYSTEM
  ibrav = 0, nat = 4, ntyp = 3
/
ATOMIC_SPECIES
Sc 44.96 Sc.upf
Tl 204.38 Tl.upf
Te 127.60 Te.upf
CELL_PARAMETERS angstrom
1.775 1.025 9.842
-1.775 1.025 9.842
0.000 -2.049 9.842
ATOMIC_POSITIONS angstrom
Sc 0.000 0.000 0.000
Sc 0.000 0.000 7.310
Tl 0.000 0.000 22.106
Te 0.000 0.000 15.059

***

! AlPt2Pb | the Alexandria database | PBE | relaxed; values from VASP
! Calculated formation energy: -0.121 eV/atom
! Magnetic moment: 0.00 μB/f.u.
! Calculated volume: 25.753 Å³/atom
! Final energy: -5.004 eV per atom
&SYSTEM
  ibrav = 0, nat = 8, ntyp = 3
/
ATOMIC_SPECIES
Al 26.98 Al.upf
Pt 195.08 Pt.upf
Pb 207.20 Pb.upf
CELL_PARAMETERS angstrom
-2.997 2.997 5.734
2.997 -2.997 5.734
2.997 2.997 -5.734
ATOMIC_POSITIONS angstrom
Al 0.000 0.000 0.000
Al 0.000 2.997 2.867
Pt 4.496 1.238 -1.433
Pt 1.238 1.499 1.433
Pt -1.499 1.759 4.300
Pt 1.759 1.499 7.167
Pb 2.997 0.000 2.867
Pb 0.000 0.000 5.734

***

! Tb2ErTl | the Alexandria database | PBE | relaxed; values from VASP
! Calculated formation energy: -0.157 eV/atom
! Magnetic moment: 0.00 μB/f.u.
! Calculated volume: 28.589 Å³/atom
! Final energy: -4.205 eV per atom
&SYSTEM
  ibrav = 0, nat = 4, ntyp = 3
/
ATOMIC_SPECIES
Tb 158.93 Tb.upf
Er 167.26 Er.upf
Tl 204.38 Tl.upf
CELL_PARAMETERS angstrom
-2.329 2.399 5.115
2.329 -2.399 5.115
2.329 2.399 -5.115
ATOMIC_POSITIONS angstrom
Tb 0.000 0.000 2.462
Tb 0.000 0.000 7.769
Er 0.000 2.399 0.000
Tl 2.329 0.000 0.000

***

! HoPaGaOs | the Alexandria database | PBE | relaxed; values from VASP
! Calculated formation energy: -0.220 eV/atom
! Magnetic moment: 0.00 μB/f.u.
! Calculated volume: 21.294 Å³/atom
! Final energy: -7.302 eV per atom
&SYSTEM
  ibrav = 0, nat = 4, ntyp = 4
/
ATOMIC_SPECIES
Ho 164.93 Ho.upf
Pa 231.04 Pa.upf
Ga 69.72 Ga.upf
Os 190.23 Os.upf
CELL_PARAMETERS angstrom
0.000 3.492 3.492
3.492 0.000 3.492
3.492 3.492 0.000
ATOMIC_POSITIONS angstrom
Ho 0.000 0.000 0.000
Pa 3.492 3.492 3.492
Ga 1.746 1.746 1.746
Os 5.238 5.238 5.238